Material: Tb2Pm5Y4
Method: DFT, PBE-GGA
State: optimized geometry

## Properties
formation energy from the elements	0.12	eV/atom
uncorrected energy	-0.19239	hartree per atom
N(E_F)	1.41	states/eV/atom

Cell: 6.688 6.688 9.397 Å, 104.60 104.60 66.31°
Element x y z (fractional)
Tb (0.146, 0.146, 0.118)
Tb (0.854, 0.854, 0.882)
Pm (0.000, 0.000, 0.500)
Pm (0.213, 0.654, 0.231)
Pm (0.346, 0.787, 0.769)
Pm (0.654, 0.213, 0.231)
Pm (0.787, 0.346, 0.769)
Y (0.305, 0.305, 0.499)
Y (0.334, 0.334, 0.882)
Y (0.666, 0.666, 0.118)
Y (0.695, 0.695, 0.501)